# TaTl2C GGA-PBE optimized geometry
data_TaTl2C
_chemical_formula_sum 'Ta4 Tl8 C4'
_cell_length_a 9.4514
_cell_length_b 9.4514
_cell_length_c 4.1897
_cell_angle_alpha 90.00
_cell_angle_beta 90.00
_cell_angle_gamma 90.00
_space_group_name_H-M_alt 'I -4 2 d'
_space_group_IT_number 122
_space_group_name_Hall 'I -4 2bw'
loop_
_atom_site_label
_atom_site_type_symbol
_atom_site_fract_x
_atom_site_fract_y
_atom_site_fract_z
Ta1 Ta 0.0000 0.0000 0.0000
Tl1 Tl 0.1118 0.2500 0.6250
C1 C 0.0000 0.0000 0.5000
# - M_tot (μB per formula unit) = 0.00
# - energy of formation from the pure elements (eV/atom) = 1.136
# - ΔE to the lowest computed polymorph (eV per atom) = 0.000
# - electronic total energy (eV for the cell shown) = -85.1
# - D(E_F) (states/eV/atom) = 1.038

# TaTl2C GGA-PBE optimized geometry
data_TaTl2C
_chemical_formula_sum 'Ta4 Tl8 C4'
_cell_length_a 6.8662
_cell_length_b 6.8662
_cell_length_c 6.8662
_cell_angle_alpha 90.00
_cell_angle_beta 90.00
_cell_angle_gamma 90.00
_space_group_name_H-M_alt 'F m -3 m'
_space_group_IT_number 225
_space_group_name_Hall '-F 4 2 3'
loop_
_atom_site_label
_atom_site_type_symbol
_atom_site_fract_x
_atom_site_fract_y
_atom_site_fract_z
Ta1 Ta 0.0000 0.0000 0.0000
Tl1 Tl 0.2500 0.2500 0.2500
C1 C 0.0000 0.0000 0.5000
# - M_tot (μB per formula unit) = 1.18
# - energy of formation from the pure elements (eV/atom) = 2.054
# - ΔE to the lowest computed polymorph (eV per atom) = 0.917
# - electronic total energy (eV for the cell shown) = -70.4
# - D(E_F) (states/eV/atom) = 0.924

# TaTlC3 GGA-PBE optimized geometry
data_TaTlC3
_chemical_formula_sum 'Ta1 Tl1 C3'
_cell_length_a 4.1807
_cell_length_b 4.1807
_cell_length_c 4.1807
_cell_angle_alpha 90.00
_cell_angle_beta 90.00
_cell_angle_gamma 90.00
_space_group_name_H-M_alt 'P m -3 m'
_space_group_IT_number 221
_space_group_name_Hall '-P 4 2 3'
loop_
_atom_site_label
_atom_site_type_symbol
_atom_site_fract_x
_atom_site_fract_y
_atom_site_fract_z
Ta1 Ta 0.0000 0.0000 0.0000
Tl1 Tl 0.5000 0.5000 0.5000
C1 C 0.0000 0.5000 0.5000
# - M_tot (μB per formula unit) = 0.00
# - energy of formation from the pure elements (eV/atom) = 3.471
# - ΔE to the lowest computed polymorph (eV per atom) = 1.747
# - electronic total energy (eV for the cell shown) = -24.5
# - D(E_F) (states/eV/atom) = 0.714

# TaTl3C GGA-PBE optimized geometry
data_TaTl3C
_chemical_formula_sum 'Ta1 Tl3 C1'
_cell_length_a 4.8274
_cell_length_b 4.8274
_cell_length_c 4.8274
_cell_angle_alpha 90.00
_cell_angle_beta 90.00
_cell_angle_gamma 90.00
_space_group_name_H-M_alt 'P m -3 m'
_space_group_IT_number 221
_space_group_name_Hall '-P 4 2 3'
loop_
_atom_site_label
_atom_site_type_symbol
_atom_site_fract_x
_atom_site_fract_y
_atom_site_fract_z
Ta1 Ta 0.0000 0.0000 0.0000
Tl1 Tl 0.0000 0.5000 0.5000
C1 C 0.5000 0.5000 0.5000
# - M_tot (μB per formula unit) = 1.91
# - energy of formation from the pure elements (eV/atom) = 1.729
# - ΔE to the lowest computed polymorph (eV per atom) = 0.000
# - electronic total energy (eV for the cell shown) = -19.5
# - D(E_F) (states/eV/atom) = 0.903